First-principles (GGA+U) data for a relaxed Mn2BeReF crystal, as listed in the Alexandria database.

abc: 5.0973 5.0973 2.9049
angles: 90.00 90.00 90.00
Space group P4/mmm (No. 123)
Inequivalent atoms, fractional coordinates:
1 Mn 0.0000 0.5000 0.0000 (multiplicity 2)
2 Be 0.0000 0.0000 0.0000 (multiplicity 1)
3 Re 0.5000 0.5000 0.5000 (multiplicity 1)
4 F 0.0000 0.0000 0.5000 (multiplicity 1)

Results
DFT total energy in eV/atom: -6.240